The following is a PBE calculation of a geometry-optimized TbThGaCo structure, from the Alexandria database.

It has space group F-43m (No. 216), with a = 7.110 Å, b = 7.110 Å, c = 7.110 Å, α = 90.00°, β = 90.00° and γ = 90.00°. The distinct sites, in fractional coordinates, are Tb at (0.000, 0.000, 0.000), Th at (0.000, 0.000, 0.500), Ga at (0.250, 0.250, 0.750) and Co at (0.250, 0.250, 0.250).

The total magnetic moment comes out at 3.01 Bohr magnetons per cell. Its density of states at the Fermi level is 12.5 states/eV/cell. Its calculated total energy is -5.773 eV per atom.